Entry 1:
# BeZn4Co

A geometry-optimized BeZn4Co structure (PBE, Alexandria via LeMat-Bulk).

Cell lengths 4.8313, 4.8313, 4.8313 Å; angles 60.00, 60.00, 60.00 degrees
Sites, in units of the cell vectors:
Be 0.0000 0.0000 0.0000
Zn 0.1258 0.6247 0.6247
Zn 0.6247 0.1258 0.6247
Zn 0.6247 0.6247 0.1258
Zn 0.6247 0.6247 0.6247
Co 0.2500 0.2500 0.2500

## Properties
E, eV/atom: -2.35
DFT formation energy, meV/atom: 302

---

Entry 2:
# Y6Ru5Rh

A geometry-optimized Y6Ru5Rh structure (PBE, Alexandria via LeMat-Bulk).

Cell lengths 7.6224, 7.6224, 6.8505 Å; angles 90.00, 90.00, 143.07 degrees
Sites, in units of the cell vectors:
Y 0.0000 0.0000 0.2480
Y 0.0000 0.0000 0.7520
Y 0.3323 0.6677 0.2489
Y 0.3323 0.6677 0.7511
Y 0.6677 0.3323 0.2489
Y 0.6677 0.3323 0.7511
Ru 0.1659 0.8341 0.0000
Ru 0.1662 0.8338 0.5000
Ru 0.5000 0.5000 0.0000
Ru 0.8341 0.1659 0.0000
Ru 0.8338 0.1662 0.5000
Rh 0.5000 0.5000 0.5000

## Properties
E, eV/atom: -8.09
DFT formation energy, meV/atom: -381

---

Entry 3:
# Ac2ZnAg4Ge3

A geometry-optimized Ac2ZnAg4Ge3 structure (PBE, Alexandria via LeMat-Bulk).

Cell lengths 4.5107, 4.5107, 11.0366 Å; angles 90.00, 90.00, 90.00 degrees
Sites, in units of the cell vectors:
Ac 0.0000 0.5000 0.2457
Ac 0.5000 0.0000 0.7543
Zn 0.0000 0.0000 0.5000
Ag 0.0000 0.0000 0.0000
Ag 0.0000 0.5000 0.6280
Ag 0.5000 0.0000 0.3720
Ag 0.5000 0.5000 0.0000
Ge 0.0000 0.5000 0.8629
Ge 0.5000 0.0000 0.1371
Ge 0.5000 0.5000 0.5000

## Properties
E, eV/atom: -3.85
DFT formation energy, meV/atom: -374